No. 1
Here is a geometry-optimized AlCdCS2 structure from Alexandria via LeMat-Bulk. Energies are from PBE-GGA.

magnetization	0.0	Bohr magnetons per cell
energy relative to the elements, uncorrected	610	meV per atom

Cell and atoms, written as POSCAR:
```
AlCdCS2
1.0
4.831 0.000 0.000
0.000 3.669 0.000
0.000 0.000 4.831
Cd S Al C
1 2 1 1
Direct
0.500 0.500 0.500
0.000 0.000 0.500
0.500 0.000 0.000
0.000 0.500 0.000
0.000 0.000 0.000
```

No. 2
Here is a geometry-optimized KSmP2S8 structure from Alexandria via LeMat-Bulk. Energies are from PBE-GGA.

magnetization	2.0	Bohr magnetons per cell
energy relative to the elements, uncorrected	-579	meV per atom

Cell and atoms, written as POSCAR:
```
KSmP2S8
1.0
-1.395 -4.576 3.897
3.866 -1.021 -4.700
7.382 2.466 5.537
S P Sm K
8 2 1 1
Direct
0.999 0.365 0.679
0.001 0.635 0.321
0.365 0.366 0.321
0.634 0.999 0.321
0.333 0.667 0.952
0.667 0.333 0.048
0.635 0.634 0.679
0.366 0.001 0.679
0.667 0.333 0.262
0.333 0.667 0.738
0.000 0.000 0.500
0.000 0.000 0.000
```

No. 3
Here is a geometry-optimized LaRu3 structure from Alexandria via LeMat-Bulk. Energies are from PBE-GGA.

energy of formation from the pure elements	0.41	eV/atom
magnetization	0.9	Bohr magnetons per cell

Cell and atoms, written as POSCAR:
```
LaRu3
1.0
-2.990 1.552 -2.570
-1.632 -2.198 4.064
-1.307 2.593 3.086
La Ru
1 3
Direct
0.000 0.000 0.000
0.750 0.500 0.750
0.500 0.000 0.500
0.250 0.500 0.250
```

No. 4
Here is a geometry-optimized SrCoCu3 structure from Alexandria via LeMat-Bulk. Energies are from PBE-GGA.

energy of formation from the pure elements	0.35	eV/atom
magnetization	1.2	Bohr magnetons per cell

Cell and atoms, written as POSCAR:
```
SrCoCu3
1.0
4.593 0.000 0.000
0.000 4.593 0.000
0.000 0.000 4.593
Cu Co Sr
3 1 1
Direct
0.000 0.500 0.000
0.500 0.000 0.000
0.000 0.000 0.500
0.000 0.000 0.000
0.500 0.500 0.500
```

No. 5
Here is a geometry-optimized AcTbHo4S8 structure from Alexandria via LeMat-Bulk. Energies are from PBE-GGA.

magnetization	0.0	Bohr magnetons per cell
energy relative to the elements, uncorrected	-1924	meV per atom

Cell and atoms, written as POSCAR:
```
AcTbHo4S8
1.0
8.138 0.000 0.000
4.069 7.048 0.000
4.069 2.349 6.668
S Ho Tb Ac
8 4 1 1
Direct
0.236 0.236 0.732
0.234 0.234 0.298
0.236 0.796 0.732
0.232 0.754 0.259
0.757 0.757 0.730
0.754 0.232 0.259
0.754 0.754 0.259
0.796 0.236 0.732
0.507 0.998 0.498
0.998 0.507 0.498
0.998 0.998 0.498
0.625 0.625 0.124
0.998 0.998 0.007
0.375 0.375 0.876
```

No. 6
Here is a geometry-optimized Li2CePbAu2 structure from Alexandria via LeMat-Bulk. Energies are from PBE-GGA.

energy of formation from the pure elements	-0.51	eV/atom
magnetization	0.7	Bohr magnetons per cell

Cell and atoms, written as POSCAR:
```
Li2CePbAu2
1.0
-0.423 -0.191 4.648
-1.434 -3.588 -2.625
6.116 -2.768 0.442
Li Pb Au Ce
2 1 2 1
Direct
0.333 0.667 0.668
0.667 0.333 0.332
0.000 0.000 0.500
0.333 0.667 0.241
0.667 0.333 0.759
0.000 0.000 0.000
```

No. 7
Here is a geometry-optimized Lu6Te2Au structure from Alexandria via LeMat-Bulk. Energies are from PBE-GGA.

magnetization	0.0	Bohr magnetons per cell
energy relative to the elements, uncorrected	-771	meV per atom

Cell and atoms, written as POSCAR:
```
Lu6Te2Au
1.0
3.998 0.000 0.000
0.000 11.348 0.000
0.000 0.000 21.285
Lu Au Te
24 4 8
Direct
0.250 0.378 0.474
0.250 0.890 0.508
0.250 0.470 0.658
0.250 0.438 0.861
0.250 0.314 0.109
0.750 0.686 0.891
0.750 0.530 0.342
0.750 0.938 0.639
0.250 0.122 0.974
0.750 0.878 0.026
0.750 0.260 0.733
0.250 0.030 0.158
0.250 0.062 0.361
0.250 0.760 0.767
0.750 0.622 0.526
0.750 0.814 0.391
0.250 0.740 0.267
0.750 0.110 0.492
0.750 0.390 0.992
0.750 0.562 0.139
0.250 0.186 0.609
0.250 0.610 0.008
0.750 0.240 0.233
0.750 0.970 0.842
0.250 0.631 0.425
0.250 0.869 0.925
0.750 0.131 0.075
0.750 0.369 0.575
0.750 0.269 0.374
0.250 0.769 0.126
0.250 0.731 0.626
0.750 0.957 0.264
0.250 0.043 0.736
0.250 0.457 0.236
0.750 0.231 0.874
0.750 0.543 0.764
```

No. 8
Here is a geometry-optimized ScTi2Re structure from Alexandria via LeMat-Bulk. Energies are from PBE-GGA.

energy of formation from the pure elements	-0.03	eV/atom
magnetization	0.0	Bohr magnetons per cell

Cell and atoms, written as POSCAR:
```
ScTi2Re
1.0
3.279 0.000 0.000
0.000 4.545 0.000
0.000 0.000 4.545
Ti Re Sc
2 1 1
Direct
0.000 0.000 0.500
0.000 0.500 0.000
0.500 0.000 0.000
0.500 0.500 0.500
```

No. 9
Here is a geometry-optimized TeSCl structure from Alexandria via LeMat-Bulk. Energies are from PBE-GGA.

magnetization	0.0	Bohr magnetons per cell
energy relative to the elements, uncorrected	-177	meV per atom

Cell and atoms, written as POSCAR:
```
TeSCl
1.0
4.975 0.157 0.344
2.392 6.110 3.464
-0.111 0.090 7.416
Cl S Te
2 2 2
Direct
0.366 0.330 0.905
0.634 0.670 0.095
0.949 0.816 0.451
0.051 0.184 0.549
0.210 0.768 0.740
0.790 0.232 0.260
```

No. 10
Here is a geometry-optimized TiPd2Rh structure from Alexandria via LeMat-Bulk. Energies are from PBE-GGA.

energy of formation from the pure elements	-0.20	eV/atom
magnetization	0.0	Bohr magnetons per cell

Cell and atoms, written as POSCAR:
```
TiPd2Rh
1.0
-1.035 -0.845 -3.493
-3.266 -1.298 1.281
-5.862 7.344 -2.043
Pd Rh Ti
4 2 2
Direct
0.875 0.875 0.750
0.125 0.625 0.250
0.375 0.375 0.750
0.625 0.125 0.250
0.750 0.250 0.500
0.000 0.000 0.000
0.500 0.500 0.000
0.250 0.750 0.500
```

No. 11
Here is a geometry-optimized CePm2Y3Sb6 structure from Alexandria via LeMat-Bulk. Energies are from PBE-GGA.

magnetization	0.7	Bohr magnetons per cell
energy relative to the elements, uncorrected	-1156	meV per atom

Cell and atoms, written as POSCAR:
```
CePm2Y3Sb6
1.0
7.701 -0.001 0.001
-3.849 6.670 0.001
-1.285 -2.224 7.249
Y Sb Pm Ce
3 6 2 1
Direct
0.833 0.167 0.500
0.167 0.833 0.500
0.500 0.500 0.500
0.915 0.583 0.744
0.247 0.247 0.744
0.085 0.417 0.256
0.583 0.915 0.744
0.417 0.085 0.256
0.753 0.753 0.256
0.666 0.334 0.000
0.334 0.666 0.000
0.000 0.000 0.000
```

No. 12
Here is a geometry-optimized BeCdSi2 structure from Alexandria via LeMat-Bulk. Energies are from PBE-GGA.

magnetization	0.0	Bohr magnetons per cell
energy relative to the elements, uncorrected	515	meV per atom

Cell and atoms, written as POSCAR:
```
BeCdSi2
1.0
-0.292 -2.650 -0.486
1.233 1.205 -2.090
8.631 -1.704 4.109
Si Cd Be
2 1 1
Direct
0.000 0.000 0.435
0.000 0.000 0.065
0.500 0.500 0.750
0.500 0.500 0.250
```

No. 13
Here is a geometry-optimized RbYIn3 structure from Alexandria via LeMat-Bulk. Energies are from PBE-GGA.

energy of formation from the pure elements	0.97	eV/atom
magnetization	0.0	Bohr magnetons per cell

Cell and atoms, written as POSCAR:
```
RbYIn3
1.0
-4.994 -2.943 -0.767
3.039 -4.764 -1.503
0.132 -1.682 5.598
In Y Rb
3 1 1
Direct
0.000 0.500 0.000
0.000 0.000 0.500
0.500 0.000 0.000
0.500 0.500 0.500
0.000 0.000 0.000
```

No. 14
Here is a geometry-optimized ScBeCd2 structure from Alexandria via LeMat-Bulk. Energies are from PBE-GGA.

energy of formation from the pure elements	0.20	eV/atom
magnetization	0.0	Bohr magnetons per cell

Cell and atoms, written as POSCAR:
```
ScBeCd2
1.0
8.684 -0.013 -0.007
8.062 3.228 -0.007
8.062 1.548 2.832
Sc Be Cd
1 1 2
Direct
0.487 0.487 0.487
0.748 0.748 0.748
0.251 0.251 0.251
0.014 0.014 0.014
```

No. 15
Here is a geometry-optimized Zn2CrCo structure from Alexandria via LeMat-Bulk. Energies are from PBE-GGA.

energy of formation from the pure elements	0.17	eV/atom
magnetization	2.9	Bohr magnetons per cell

Cell and atoms, written as POSCAR:
```
Zn2CrCo
1.0
4.703 -0.218 -0.174
-2.585 5.117 0.387
0.130 1.133 2.230
Zn Cr Co
2 1 1
Direct
0.000 0.500 0.500
0.000 0.000 0.000
0.500 0.000 0.500
0.500 0.500 0.000
```

No. 16
Here is a geometry-optimized KTa2TlSb structure from Alexandria via LeMat-Bulk. Energies are from PBE-GGA.

magnetization	0.0	Bohr magnetons per cell
energy relative to the elements, uncorrected	2608	meV per atom

Cell and atoms, written as POSCAR:
```
KTa2TlSb
1.0
4.918 0.000 0.000
0.000 5.501 0.000
0.000 0.000 4.918
K Ta Tl Sb
1 2 1 1
Direct
0.000 0.000 0.000
0.000 0.000 0.500
0.500 0.000 0.000
0.000 0.500 0.000
0.500 0.500 0.500
```

No. 17
Here is a geometry-optimized Co2BrCl structure from Alexandria via LeMat-Bulk. Energies are from PBE-GGA.

magnetization	4.2	Bohr magnetons per cell
energy relative to the elements, uncorrected	276	meV per atom

Cell and atoms, written as POSCAR:
```
Co2BrCl
1.0
-1.487 -2.618 -1.295
3.463 -0.135 -3.703
2.761 -3.053 3.000
Cl Br Co
1 1 2
Direct
0.500 0.750 0.750
0.500 0.250 0.250
0.000 0.411 0.612
0.000 0.089 0.888
```

No. 18
Here is a geometry-optimized CoSiRh2 structure from Alexandria via LeMat-Bulk. Energies are from PBE-GGA.

magnetization	1.9	Bohr magnetons per cell
energy relative to the elements, uncorrected	-277	meV per atom

Cell and atoms, written as POSCAR:
```
CoSiRh2
1.0
-3.643 2.517 2.209
-1.792 -1.949 4.180
3.973 1.828 -2.314
Rh Co Si
2 1 1
Direct
0.528 0.528 0.000
0.972 0.972 0.000
0.250 0.750 0.500
0.750 0.250 0.500
```

No. 19
Here is a geometry-optimized NiRhI2 structure from Alexandria via LeMat-Bulk. Energies are from PBE-GGA.

magnetization	0.0	Bohr magnetons per cell
energy relative to the elements, uncorrected	274	meV per atom

Cell and atoms, written as POSCAR:
```
NiRhI2
1.0
5.949 0.000 0.000
0.000 5.949 0.000
2.974 2.974 5.843
I Ni Rh
4 2 2
Direct
0.141 0.625 0.250
0.609 0.125 0.250
0.375 0.391 0.750
0.875 0.859 0.750
0.250 0.750 0.500
0.500 0.500 0.000
0.000 0.000 0.000
0.750 0.250 0.500
```

No. 20
Here is a geometry-optimized TiBe2V structure from Alexandria via LeMat-Bulk. Energies are from PBE-GGA.

energy of formation from the pure elements	-0.03	eV/atom
magnetization	1.0	Bohr magnetons per cell

Cell and atoms, written as POSCAR:
```
TiBe2V
1.0
-0.897 3.537 1.759
-2.458 0.096 3.218
1.492 0.876 3.663
Ti Be V
1 2 1
Direct
0.500 0.500 0.500
0.250 0.250 0.250
0.750 0.750 0.750
0.000 0.000 0.000
```